## FeHgRu (PBE)

Data for a relaxed structure of FeHgRu.

Cell: 5.8450 5.8450 5.8450 Å, 151.00 151.00 41.47°
Last column: nearest neighbours and their distance in Å.
Positions (direct):
1 Fe 0.0000 0.0000 0.0000  4 Ru 2.48
2 Hg 0.3187 0.3187 0.0000  4 Fe 2.87, 4 Hg 2.93, 4 Ru 2.96
3 Ru 0.6248 0.6248 0.0000  4 Fe 2.48

Summary:
final energy: -5.646 eV per atom
SG: I4mm
ρ: 12.7 g/cm³
energy relative to the lowest polymorph listed for this composition: 0.0 kJ per mole of atoms

=====

## Li2EuMg (PBE)

Data for a relaxed structure of Li2EuMg.

Cell: 5.4312 5.4312 3.5178 Å, 90.00 90.00 90.00°
Last column: nearest neighbours and their distance in Å.
Positions (direct):
1 Li 0.0000 0.5000 0.0000  4 Mg 3.24, 4 Eu 3.24, 2 Li 3.52
2 Li 0.5000 0.0000 0.0000  4 Mg 3.24, 4 Eu 3.24, 2 Li 3.52
3 Eu 0.0000 0.0000 0.5000  8 Li 3.24, 2 Eu 3.52
4 Mg 0.5000 0.5000 0.5000  8 Li 3.24, 2 Mg 3.52

Summary:
final energy: -3.841 eV per atom
SG: P4/mmm
ρ: 3.0 g/cm³
energy relative to the lowest polymorph listed for this composition: 6.5 kJ per mole of atoms

=====

## RePtS3 (PBE)

Data for a relaxed structure of RePtS3.

Cell: 4.6714 4.6714 4.6714 Å, 90.00 90.00 90.00°
Last column: nearest neighbours and their distance in Å.
Positions (direct):
1 Re 0.0000 0.0000 0.0000  12 S 3.30
2 Pt 0.5000 0.5000 0.5000  6 S 2.34
3 S 0.0000 0.5000 0.5000  2 Pt 2.34
4 S 0.5000 0.0000 0.5000  2 Pt 2.34
5 S 0.5000 0.5000 0.0000  2 Pt 2.34

Summary:
final energy: -4.828 eV per atom
SG: Pm-3m
ρ: 7.8 g/cm³
raw formation energy: 1.35 eV per atom
energy relative to the lowest polymorph listed for this composition: 50.9 kJ per mole of atoms

=====

## Zn6Ag5 (PBE)

Data for a relaxed structure of Zn6Ag5.

Cell: 7.5133 7.5133 4.3829 Å, 105.87 105.87 51.17°
Last column: nearest neighbours and their distance in Å.
Positions (direct):
1 Zn 0.0738 0.6320 0.3508  7 Ag 2.63-2.86, 3 Zn 2.86-2.94
2 Zn 0.2152 0.7848 0.0000  6 Ag 2.74-2.87, 5 Zn 2.79-2.94
3 Zn 0.3680 0.9262 0.6492  7 Ag 2.63-2.86, 3 Zn 2.86-2.94
4 Zn 0.6320 0.0738 0.3508  7 Ag 2.63-2.86, 3 Zn 2.86-2.94
5 Zn 0.7848 0.2152 0.0000  6 Ag 2.74-2.87, 5 Zn 2.79-2.94
6 Zn 0.9262 0.3680 0.6492  7 Ag 2.63-2.86, 3 Zn 2.86-2.94
7 Ag 0.1825 0.1825 0.1830  8 Zn 2.66-2.85, 1 Ag 2.94
8 Ag 0.3363 0.3363 0.8331  8 Zn 2.81-2.86, 4 Ag 2.94-3.09
9 Ag 0.5000 0.5000 0.5000  8 Zn 2.63-2.87
10 Ag 0.6637 0.6637 0.1669  8 Zn 2.81-2.86, 4 Ag 2.94-3.09
11 Ag 0.8175 0.8175 0.8170  8 Zn 2.66-2.85, 1 Ag 2.94

Summary:
final energy: -1.998 eV per atom
SG: C2/m
ρ: 8.4 g/cm³
energy relative to the lowest polymorph listed for this composition: 0.0 kJ per mole of atoms

=====

## LaZr2Sc (PBE)

Data for a relaxed structure of LaZr2Sc.

Cell: 3.8163 3.8163 7.2198 Å, 90.00 90.00 90.00°
Last column: nearest neighbours and their distance in Å.
Positions (direct):
1 La 0.0000 0.0000 0.0000  8 Zr 3.42, 2 Sc 3.61, 4 La 3.82
2 Zr 0.5000 0.5000 0.2912  1 Zr 3.02, 4 Sc 3.09
3 Zr 0.5000 0.5000 0.7088  1 Zr 3.02, 4 Sc 3.09
4 Sc 0.0000 0.0000 0.5000  8 Zr 3.09

Summary:
final energy: -6.909 eV per atom
SG: P4/mmm
ρ: 5.8 g/cm³
energy relative to the lowest polymorph listed for this composition: 7.9 kJ per mole of atoms

=====

## Ti3BiN (PBE)

Data for a relaxed structure of Ti3BiN.

Cell: 7.4189 3.2568 7.2338 Å, 90.00 90.00 90.00°
Last column: nearest neighbours and their distance in Å.
Positions (direct):
1 Ti 0.0346 0.0000 0.2419  1 N 1.91
2 Ti 0.2500 0.5000 0.5415  2 N 1.98
3 Ti 0.4654 0.0000 0.2419  1 N 1.91
4 Ti 0.5346 0.0000 0.7581  1 N 1.91
5 Ti 0.7500 0.5000 0.4585  2 N 1.98
6 Ti 0.9654 0.0000 0.7581  1 N 1.91
7 Bi 0.2500 0.5000 0.9555  9 Ti 3.00-3.08, 2 Bi 3.26
8 Bi 0.7500 0.5000 0.0445  9 Ti 3.00-3.08, 2 Bi 3.26
9 N 0.2500 0.0000 0.3855  4 Ti 1.91-1.98
10 N 0.7500 0.0000 0.6145  4 Ti 1.91-1.98

Summary:
final energy: -7.691 eV per atom
SG: Pmma
ρ: 7.0 g/cm³
raw formation energy: -0.51 eV per atom

=====

## LaTi2Sn2 (PBE)

Data for a relaxed structure of LaTi2Sn2.

Cell: 8.4640 8.4640 3.1449 Å, 90.00 90.00 90.00°
Last column: nearest neighbours and their distance in Å.
Positions (direct):
1 La 0.0000 0.0000 0.0000  2 La 3.14, 4 Ti 3.41, 8 Sn 3.49
2 La 0.5000 0.5000 0.0000  2 La 3.14, 4 Ti 3.41, 8 Sn 3.49
3 Ti 0.1137 0.3863 0.0000  1 Ti 2.72, 6 Sn 2.96-2.97
4 Ti 0.3863 0.8863 0.0000  1 Ti 2.72, 6 Sn 2.96-2.97
5 Ti 0.6137 0.1137 0.0000  1 Ti 2.72, 6 Sn 2.96-2.97
6 Ti 0.8863 0.6137 0.0000  1 Ti 2.72, 6 Sn 2.96-2.97
7 Sn 0.1770 0.6770 0.5000  6 Ti 2.96-2.97, 2 Sn 3.14
8 Sn 0.3230 0.1770 0.5000  6 Ti 2.96-2.97, 2 Sn 3.14
9 Sn 0.6770 0.8230 0.5000  6 Ti 2.96-2.97, 2 Sn 3.14
10 Sn 0.8230 0.3230 0.5000  6 Ti 2.96-2.97, 2 Sn 3.14

Summary:
final energy: -6.073 eV per atom
SG: P4/mbm
ρ: 7.0 g/cm³
energy relative to the lowest polymorph listed for this composition: 0.0 kJ per mole of atoms

=====

## KS2BrCl (PBE)

Data for a relaxed structure of KS2BrCl.

Cell: 6.3218 6.3218 5.7515 Å, 90.00 90.00 90.00°
Last column: nearest neighbours and their distance in Å.
Positions (direct):
1 K 0.0000 0.0000 0.0000  2 Cl 2.88, 4 S 3.16
2 S 0.0000 0.5000 0.0000  2 K 3.16
3 S 0.5000 0.0000 0.0000  2 K 3.16
4 Br 0.5000 0.5000 0.5000  8 S 4.27, 4 Cl 4.47
5 Cl 0.0000 0.0000 0.5000  2 K 2.88

Summary:
final energy: -1.905 eV per atom
SG: P4/mmm
ρ: 1.6 g/cm³
raw formation energy: 0.67 eV per atom
energy relative to the lowest polymorph listed for this composition: 62.2 kJ per mole of atoms

=====

## MnAu2Cl (PBE)

Data for a relaxed structure of MnAu2Cl.

Cell: 3.3376 4.2456 5.6013 Å, 90.00 90.00 90.00°
Last column: nearest neighbours and their distance in Å.
Positions (direct):
1 Mn 0.0000 0.0000 0.0000  4 Cl 2.70
2 Au 0.0000 0.5000 0.5000  4 Au 2.70
3 Au 0.5000 0.0000 0.5000  4 Au 2.70
4 Cl 0.5000 0.5000 0.0000  4 Mn 2.70

Summary:
final energy: -4.318 eV per atom
SG: Pmmm
ρ: 10.1 g/cm³
raw formation energy: 0.07 eV per atom
energy relative to the lowest polymorph listed for this composition: 22.9 kJ per mole of atoms

=====

## TiFeSCl2 (PBE)

Data for a relaxed structure of TiFeSCl2.

Cell: 4.4679 4.4679 4.5941 Å, 90.00 90.00 90.00°
Last column: nearest neighbours and their distance in Å.
Positions (direct):
1 Ti 0.0000 0.0000 0.0000  4 S 3.16, 8 Cl 3.20
2 Fe 0.5000 0.5000 0.5000  4 Cl 2.23, 2 S 2.30
3 S 0.5000 0.5000 0.0000  2 Fe 2.30
4 Cl 0.0000 0.5000 0.5000  2 Fe 2.23
5 Cl 0.5000 0.0000 0.5000  2 Fe 2.23

Summary:
final energy: -4.708 eV per atom
SG: P4/mmm
ρ: 3.7 g/cm³
raw formation energy: 0.13 eV per atom
energy relative to the lowest polymorph listed for this composition: 36.0 kJ per mole of atoms

=====

## LiMn2As (PBE)

Data for a relaxed structure of LiMn2As.

Cell: 3.7605 3.7605 3.6994 Å, 90.00 90.00 90.00°
Last column: nearest neighbours and their distance in Å.
Positions (direct):
1 Li 0.0000 0.0000 0.0000  8 Mn 2.64, 4 As 2.66
2 Mn 0.0000 0.5000 0.5000  4 Li 2.64, 4 As 2.64, 4 Mn 2.66
3 Mn 0.5000 0.0000 0.5000  4 Li 2.64, 4 As 2.64, 4 Mn 2.66
4 As 0.5000 0.5000 0.0000  8 Mn 2.64, 4 Li 2.66

Summary:
final energy: -6.287 eV per atom
SG: P4/mmm
ρ: 6.1 g/cm³

=====

## HoEr2ThRu4 (PBE)

Data for a relaxed structure of HoEr2ThRu4.

Cell: 8.3463 8.3463 8.3463 Å, 33.69 33.69 33.69°
Last column: nearest neighbours and their distance in Å.
Positions (direct):
1 Ho 0.0000 0.0000 0.0000  8 Ru 2.98-2.99
2 Er 0.2542 0.2542 0.2542  8 Ru 2.91-3.01
3 Er 0.7458 0.7458 0.7458  8 Ru 2.91-3.01
4 Th 0.5000 0.5000 0.5000  8 Ru 2.89-2.95
5 Ru 0.1269 0.1269 0.1269  3 Th 2.95, 1 Ho 2.99, 4 Er 3.00-3.01
6 Ru 0.3775 0.3775 0.3775  1 Th 2.89, 4 Er 2.91, 3 Ho 2.98
7 Ru 0.6225 0.6225 0.6225  1 Th 2.89, 4 Er 2.91, 3 Ho 2.98
8 Ru 0.8731 0.8731 0.8731  3 Th 2.95, 1 Ho 2.99, 4 Er 3.00-3.01

Summary:
final energy: -7.738 eV per atom
SG: R-3m
ρ: 11.8 g/cm³

=====

Among the records above, which one has the lowest ρ? KS2BrCl

=====

What is the formula in the seventh record? LaTi2Sn2